[1]
This record from Alexandria via LeMat-Bulk describes YHfSc2S6 after structural relaxation. The functional is PBE.

Output
- raw total energy (eV for the cell shown) = -71.8

Cell: 7.0875 7.0875 7.0875 Å, 54.98 54.98 54.98°
Sites, in units of the cell vectors:
Y: 0.0000 0.0000 0.0000
Hf: 0.4939 0.4939 0.4939
Sc: 0.3055 0.3055 0.3055
Sc: 0.8082 0.8082 0.8082
S: 0.0900 0.6919 0.4228
S: 0.2192 0.5808 0.8951
S: 0.4228 0.0900 0.6919
S: 0.5808 0.8951 0.2192
S: 0.6919 0.4228 0.0900
S: 0.8951 0.2192 0.5808


[2]
This record from Alexandria via LeMat-Bulk describes Hf4Se3S after structural relaxation. The functional is PBE.

Output
- raw total energy (eV for the cell shown) = -121.3

Cell: 6.9732 6.0406 8.5860 Å, 90.00 90.00 90.00°
Sites, in units of the cell vectors:
Hf: 0.0000 0.1580 0.0000
Hf: 0.0000 0.8349 0.4842
Hf: 0.2439 0.6767 0.9988
Hf: 0.2561 0.3233 0.4988
Hf: 0.5000 0.1651 0.9842
Hf: 0.5000 0.8420 0.5000
Hf: 0.7439 0.3233 0.4988
Hf: 0.7561 0.6767 0.9988
Se: 0.0000 0.1588 0.6973
Se: 0.2473 0.6648 0.6952
Se: 0.2527 0.3352 0.1952
Se: 0.5000 0.8412 0.1973
Se: 0.7473 0.3352 0.1952
Se: 0.7527 0.6648 0.6952
S: 0.0000 0.8339 0.1908
S: 0.5000 0.1661 0.6908


[3]
This record from Alexandria via LeMat-Bulk describes Hf4SeS2 after structural relaxation. The functional is PBE.

Output
- raw total energy (eV for the cell shown) = -105.6

Cell: 4.9055 4.9055 12.9130 Å, 90.00 90.00 90.00°
Sites, in units of the cell vectors:
Hf: 0.0000 0.0000 0.2129
Hf: 0.0000 0.0000 0.7871
Hf: 0.0000 0.5000 0.0000
Hf: 0.0000 0.5000 0.5000
Hf: 0.5000 0.0000 0.0000
Hf: 0.5000 0.0000 0.5000
Hf: 0.5000 0.5000 0.2871
Hf: 0.5000 0.5000 0.7129
Se: 0.0000 0.0000 0.0000
Se: 0.5000 0.5000 0.5000
S: 0.0000 0.0000 0.3959
S: 0.0000 0.0000 0.6041
S: 0.5000 0.5000 0.1041
S: 0.5000 0.5000 0.8959


[4]
This record from Alexandria via LeMat-Bulk describes HfSeS3 after structural relaxation. The functional is PBE.

Output
- relative energy among the computed polymorphs (meV per atom) = 0.0
- raw total energy (eV for the cell shown) = -26.5

Cell: 4.9212 4.9212 4.9212 Å, 90.00 90.00 90.00°
Sites, in units of the cell vectors:
Hf: 0.0000 0.0000 0.0000
Se: 0.5000 0.5000 0.5000
S: 0.0000 0.0000 0.5000
S: 0.0000 0.5000 0.0000
S: 0.5000 0.0000 0.0000


[5]
This record from Alexandria via LeMat-Bulk describes HfSe2S after structural relaxation. The functional is PBE.

Output
- raw total energy (eV for the cell shown) = -69.5

Cell: 3.7214 3.7214 24.3468 Å, 90.00 90.00 120.00°
Sites, in units of the cell vectors:
Hf: 0.0000 0.0000 0.0000
Hf: 0.3333 0.6667 0.6667
Hf: 0.6667 0.3333 0.3333
Se: 0.0000 0.0000 0.3997
Se: 0.0000 0.0000 0.6003
Se: 0.3333 0.6667 0.0663
Se: 0.3333 0.6667 0.2670
Se: 0.6667 0.3333 0.7330
Se: 0.6667 0.3333 0.9337
S: 0.0000 0.0000 0.5000
S: 0.3333 0.6667 0.1667
S: 0.6667 0.3333 0.8333


[6]
This record from Alexandria via LeMat-Bulk describes Hf4Se2S after structural relaxation. The functional is PBE.

Output
- raw total energy (eV for the cell shown) = -106.7

Cell: 4.7917 4.7917 13.2437 Å, 90.00 90.00 90.00°
Sites, in units of the cell vectors:
Hf: 0.0000 0.0000 0.1864
Hf: 0.0000 0.0000 0.8136
Hf: 0.0000 0.5000 0.0000
Hf: 0.0000 0.5000 0.5000
Hf: 0.5000 0.0000 0.0000
Hf: 0.5000 0.0000 0.5000
Hf: 0.5000 0.5000 0.3136
Hf: 0.5000 0.5000 0.6864
Se: 0.0000 0.0000 0.3813
Se: 0.0000 0.0000 0.6187
Se: 0.5000 0.5000 0.1187
Se: 0.5000 0.5000 0.8813
S: 0.0000 0.0000 0.0000
S: 0.5000 0.5000 0.5000


[7]
This record from Alexandria via LeMat-Bulk describes Hf8SeS2 after structural relaxation. The functional is PBE.

Output
- raw total energy (eV for the cell shown) = -95.3

Cell: 7.4465 7.4465 5.1312 Å, 96.85 96.85 60.58°
Sites, in units of the cell vectors:
Hf: 0.1256 0.7104 0.7508
Hf: 0.1313 0.1313 0.7643
Hf: 0.2893 0.2893 0.3269
Hf: 0.2896 0.8744 0.2492
Hf: 0.7104 0.1256 0.7508
Hf: 0.7107 0.7107 0.6731
Hf: 0.8687 0.8687 0.2357
Hf: 0.8744 0.2896 0.2492
Se: 0.5000 0.5000 0.5000
S: 0.3278 0.3278 0.8538
S: 0.6722 0.6722 0.1462


[8]
This record from Alexandria via LeMat-Bulk describes HfSe2S after structural relaxation. The functional is PBE.

Output
- raw total energy (eV for the cell shown) = -85.6

Cell: 6.9482 6.9482 10.2856 Å, 90.00 90.00 90.00°
Sites, in units of the cell vectors:
Hf: 0.0000 0.0000 0.0000
Hf: 0.0000 0.5000 0.2500
Hf: 0.5000 0.0000 0.7500
Hf: 0.5000 0.5000 0.5000
Se: 0.1917 0.2500 0.1250
Se: 0.2500 0.6917 0.3750
Se: 0.2500 0.8083 0.8750
Se: 0.3083 0.2500 0.6250
Se: 0.6917 0.7500 0.6250
Se: 0.7500 0.1917 0.8750
Se: 0.7500 0.3083 0.3750
Se: 0.8083 0.7500 0.1250
S: 0.0000 0.0000 0.5000
S: 0.0000 0.5000 0.7500
S: 0.5000 0.0000 0.2500
S: 0.5000 0.5000 0.0000


[9]
This record from Alexandria via LeMat-Bulk describes HfSeS after structural relaxation. The functional is PBE.

Output
- relative energy among the computed polymorphs (meV per atom) = 433.6
- raw total energy (eV for the cell shown) = -41.3

Cell: 3.4081 3.4081 9.4617 Å, 90.00 90.00 90.00°
Sites, in units of the cell vectors:
Hf: 0.0000 0.0000 0.0000
Hf: 0.5000 0.5000 0.5000
Se: 0.0000 0.0000 0.3275
Se: 0.5000 0.5000 0.8275
S: 0.0000 0.0000 0.6222
S: 0.5000 0.5000 0.1222


[10]
This record from Alexandria via LeMat-Bulk describes Hf3SeS after structural relaxation. The functional is PBE.

Output
- relative energy among the computed polymorphs (meV per atom) = 0.0
- raw total energy (eV for the cell shown) = -82.3

Cell: 5.8285 5.8285 8.5086 Å, 115.98 115.98 51.61°
Sites, in units of the cell vectors:
Hf: 0.0848 0.0848 0.4041
Hf: 0.3355 0.3355 0.8416
Hf: 0.3592 0.3592 0.2727
Hf: 0.6408 0.6408 0.7273
Hf: 0.6645 0.6645 0.1584
Hf: 0.9152 0.9152 0.5959
Se: 0.1253 0.1253 0.9399
Se: 0.8747 0.8747 0.0601
S: 0.3656 0.3656 0.5718
S: 0.6344 0.6344 0.4282


[11]
This record from Alexandria via LeMat-Bulk describes Hf3SeS after structural relaxation. The functional is PBE.

Output
- relative energy among the computed polymorphs (meV per atom) = 619.1
- raw total energy (eV for the cell shown) = -38.0

Cell: 4.7692 4.7692 4.7692 Å, 90.00 90.00 90.00°
Sites, in units of the cell vectors:
Hf: 0.0000 0.0000 0.5000
Hf: 0.0000 0.5000 0.0000
Hf: 0.5000 0.0000 0.0000
Se: 0.5000 0.5000 0.5000
S: 0.0000 0.0000 0.0000


[12]
This record from Alexandria via LeMat-Bulk describes HfSeS after structural relaxation. The functional is PBE.

Output
- relative energy among the computed polymorphs (meV per atom) = 4.1
- raw total energy (eV for the cell shown) = -87.9

Cell: 14.1300 3.7062 6.4125 Å, 90.00 96.39 90.00°
Sites, in units of the cell vectors:
Hf: 0.0000 0.0000 0.0000
Hf: 0.0000 0.5000 0.5000
Hf: 0.5000 0.0000 0.5000
Hf: 0.5000 0.5000 0.0000
Se: 0.1153 0.0000 0.3626
Se: 0.3847 0.5000 0.6374
Se: 0.6153 0.5000 0.3626
Se: 0.8847 0.0000 0.6374
S: 0.0998 0.5000 0.8570
S: 0.4002 0.0000 0.1430
S: 0.5998 0.0000 0.8570
S: 0.9002 0.5000 0.1430